Record 1
Na4Zr3BeSe8: relaxed, PBE.

formation energy from raw total energies = -1153 meV/atom

```
data_Na4Zr3BeSe8
_symmetry_space_group_name_H-M 'R -3 m'
_symmetry_Int_Tables_number 166
_symmetry_space_group_name_Hall '-R 3 2"'
_cell_length_a 7.6946
_cell_length_b 7.6946
_cell_length_c 21.1440
_cell_angle_alpha 90.00
_cell_angle_beta 90.00
_cell_angle_gamma 120.00
loop_
_atom_site_label
_atom_site_fract_x
_atom_site_fract_y
_atom_site_fract_z
Na1 0.0000 0.0000 0.0000
Na2 0.0000 0.5000 0.0000
Zr1 0.0000 0.5000 0.5000
Be1 0.0000 0.0000 0.5000
Se1 0.0000 0.0000 0.2431
Se2 0.0182 0.5091 0.2375
```

=====

Record 2
Ba6Pd2AuN: relaxed, PBE.

formation energy from raw total energies = -440 meV/atom

```
data_Ba6Pd2AuN
_symmetry_space_group_name_H-M 'P 1 21/c 1'
_symmetry_Int_Tables_number 14
_symmetry_space_group_name_Hall '-P 2ybc'
_cell_length_a 7.662
_cell_length_b 8.447
_cell_length_c 13.469
_cell_angle_alpha 90.00
_cell_angle_beta 123.10
_cell_angle_gamma 90.00
loop_
_atom_site_label
_atom_site_fract_x
_atom_site_fract_y
_atom_site_fract_z
Ba1 0.087 0.052 0.227
Ba2 0.230 0.705 0.074
Ba3 0.359 0.162 0.062
Pd1 0.303 0.103 0.763
Au1 0.500 0.000 0.500
N1 0.000 0.000 0.000
```

=====

Record 3
KSrY2: relaxed, PBE.

ΔH_f (0 K) = 204 meV/atom
distance to the lowest polymorph of the same formula = 0.0 meV per atom

```
data_KSrY2
_symmetry_space_group_name_H-M 'P 1 m 1'
_symmetry_Int_Tables_number 6
_symmetry_space_group_name_Hall 'P -2y'
_cell_length_a 3.834
_cell_length_b 3.833
_cell_length_c 11.926
_cell_angle_alpha 90.00
_cell_angle_beta 90.06
_cell_angle_gamma 90.00
loop_
_atom_site_label
_atom_site_fract_x
_atom_site_fract_y
_atom_site_fract_z
K1 0.000 0.000 0.000
Sr1 0.503 0.500 0.689
Y1 0.002 0.000 0.456
Y2 0.501 0.500 0.272
```